This record from the Alexandria database describes a crystal of NaBiP4O12 relaxed with PBEsol. The functional is meta-GGA SCAN.

Values from the calculation:
Crystal system ... monoclinic
ρ ... 3.9 g/cm³
Formation energy (no corrections) ... -2.2820 eV per atom
Total moment ... 0.00 μB per formula unit

Unit cell a=7.205 b=9.886 c=13.130 alpha=90.00 beta=90.00 gamma=89.46
Fractional positions:
P: 0.623 0.265 0.885
P: 0.877 0.235 0.385
P: 0.729 0.700 0.590
P: 0.271 0.300 0.410
P: 0.648 0.697 0.371
P: 0.249 0.760 0.398
P: 0.148 0.197 0.129
P: 0.771 0.800 0.090
P: 0.852 0.803 0.871
P: 0.229 0.200 0.910
P: 0.377 0.735 0.115
P: 0.251 0.740 0.898
P: 0.123 0.765 0.615
P: 0.352 0.303 0.629
P: 0.749 0.260 0.102
P: 0.751 0.240 0.602
O: 0.717 0.212 0.987
O: 0.215 0.591 0.892
O: 0.816 0.654 0.867
O: 0.428 0.669 0.373
O: 0.912 0.791 0.581
O: 0.744 0.917 0.161
O: 0.217 0.712 0.513
O: 0.216 0.106 0.213
O: 0.861 0.349 0.311
O: 0.588 0.709 0.081
O: 0.695 0.401 0.854
O: 0.067 0.293 0.893
O: 0.088 0.209 0.419
O: 0.783 0.865 0.977
O: 0.756 0.583 0.661
O: 0.783 0.288 0.487
O: 0.090 0.709 0.334
O: 0.284 0.394 0.713
O: 0.784 0.894 0.787
O: 0.933 0.707 0.107
O: 0.195 0.901 0.646
O: 0.717 0.635 0.477
O: 0.217 0.135 0.023
O: 0.928 0.169 0.127
O: 0.639 0.151 0.811
O: 0.305 0.599 0.146
O: 0.244 0.417 0.339
O: 0.785 0.409 0.108
O: 0.072 0.831 0.873
O: 0.716 0.606 0.287
O: 0.316 0.154 0.633
O: 0.256 0.083 0.839
O: 0.283 0.788 0.013
O: 0.361 0.849 0.189
O: 0.283 0.365 0.523
O: 0.139 0.651 0.689
O: 0.184 0.346 0.133
O: 0.410 0.791 0.834
O: 0.590 0.209 0.166
O: 0.805 0.099 0.354
O: 0.684 0.846 0.367
O: 0.715 0.091 0.608
O: 0.412 0.291 0.919
O: 0.433 0.207 0.393
O: 0.285 0.909 0.392
O: 0.572 0.331 0.627
O: 0.910 0.291 0.666
O: 0.567 0.793 0.607
Bi: 0.987 0.477 0.781
Bi: 0.487 0.977 0.719
Bi: 0.013 0.523 0.219
Bi: 0.513 0.023 0.281
Na: 0.500 0.563 0.777
Na: 0.500 0.437 0.223
Na: 0.000 0.063 0.723
Na: 0.000 0.937 0.277